1.
{"formula": "Sm2HoPuBi4", "functional": "GGA-PBE", "state": "optimized geometry", "delta_e_f_ev_per_atom": -0.7458, "rho_g_cm3": 9.8, "final_energy_ev_per_atom": -6.230, "magnetic_moment_mub_per_cell": 5.14, "spacegroup": "P2/m", "lattice_angstrom": [[7.843, 0.000, 0.000], [0.000, 4.534, 0.000], [-2.608, 0.000, 7.398]], "species": ["Sm", "Sm", "Ho", "Pu", "Bi", "Bi", "Bi", "Bi"], "frac_coords": [[0.000, 0.000, 0.000], [0.500, 0.500, 0.000], [0.000, 0.500, 0.500], [0.500, 0.000, 0.500], [0.246, 0.000, 0.745], [0.250, 0.500, 0.254], [0.750, 0.500, 0.746], [0.754, 0.000, 0.255]]}

2.
{"formula": "SmHo2PuBi4", "functional": "GGA-PBE", "state": "optimized geometry", "delta_e_f_ev_per_atom": -0.7255, "rho_g_cm3": 10.0, "final_energy_ev_per_atom": -6.192, "magnetic_moment_mub_per_cell": 5.16, "spacegroup": "P2/m", "lattice_angstrom": [[7.801, 0.000, 0.000], [0.000, 4.510, 0.000], [-2.599, 0.000, 7.363]], "species": ["Sm", "Ho", "Ho", "Pu", "Bi", "Bi", "Bi", "Bi"], "frac_coords": [[0.000, 0.000, 0.000], [0.500, 0.000, 0.500], [0.500, 0.500, 0.000], [0.000, 0.500, 0.500], [0.255, 0.000, 0.751], [0.256, 0.500, 0.253], [0.744, 0.500, 0.747], [0.745, 0.000, 0.249]]}